Density functional theory data (PBE with a Hubbard U) for a relaxed structure of NiP2HO.

Unit cell a=3.4344 b=3.4344 c=4.4770 alpha=90.00 beta=90.00 gamma=90.00
Space group P4/mmm (No. 123)
One atom of each set of equivalent atoms:
Ni1 0.0000 0.0000 0.0000 x1
P1 0.0000 0.5000 0.5000 x2
H1 0.5000 0.5000 0.5000 x1
O1 0.5000 0.5000 0.0000 x1

Total magnetization: 0.19 μB/cell
Offset from the most stable computed form: 0.0 kJ/mol of atoms
Raw total energy: -3.397 eV/atom